DFT (PBE) results for a relaxed structure of RbLi3W.

Summary:
- Fermi-level density of states (states/eV per cell) = 2.819
- theoretical density (g cm⁻³) = 4.24

a b c (Å): 4.8448 4.8448 4.8448
angles (deg): 90.00 90.00 90.00
Space group Pm-3m (No. 221)
Inequivalent atoms, fractional coordinates:
Rb 0.0000 0.0000 0.0000 (multiplicity 1)
Li 0.0000 0.0000 0.5000 (multiplicity 3)
W 0.5000 0.5000 0.5000 (multiplicity 1)

DFT (PBE) results for a relaxed structure of SmBIr2.

Summary:
- Fermi-level density of states (states/eV per cell) = 10.811
- theoretical density (g cm⁻³) = 13.09

a b c (Å): 3.8424 3.8424 16.2444
angles (deg): 90.00 90.00 120.00
Space group R-3m (No. 166, hexagonal axes)
Inequivalent atoms, fractional coordinates:
Sm 0.0000 0.0000 0.0000 (multiplicity 3)
B 0.0000 0.0000 0.5000 (multiplicity 3)
Ir 0.0000 0.0000 0.2076 (multiplicity 6)

DFT (PBE) results for a relaxed structure of TmLuSn.

Summary:
- Fermi-level density of states (states/eV per cell) = 3.111
- theoretical density (g cm⁻³) = 9.31

a b c (Å): 5.1078 5.1078 3.6511
angles (deg): 90.00 90.00 120.00
Space group P3m1 (No. 156)
Inequivalent atoms, fractional coordinates:
Tm 0.0000 0.0000 0.0000 (multiplicity 1)
Lu 0.3333 0.6667 0.4535 (multiplicity 1)
Sn 0.6667 0.3333 0.7083 (multiplicity 1)

| no. | energy relative to the elements (eV per atom) | uncorrected energy (eV for the cell shown) |
| --- | --- | --- |
| 1 | 1.79 | -10.71 |
| 2 | -0.19 | -89.69 |
| 3 | -0.32 | -13.96 |